Computed, not measured: La2PdPt9 after structural relaxation at the PBE level of DFT.

## Properties
E_form (eV/atom): -0.576
V (Å³/cell): 228.2
Space group: R-3m, No. 166

a = 9.422 Å, b = 9.422 Å, c = 9.422 Å
α = 33.60°, β = 33.60°, γ = 33.60°
Fractional positions:
La  0.133  0.133  0.133
La  0.867  0.867  0.867
Pd  0.000  0.000  0.000
Pt  0.080  0.585  0.585
Pt  0.332  0.332  0.332
Pt  0.415  0.415  0.920
Pt  0.415  0.920  0.415
Pt  0.500  0.500  0.500
Pt  0.585  0.080  0.585
Pt  0.585  0.585  0.080
Pt  0.668  0.668  0.668
Pt  0.920  0.415  0.415

Computed, not measured: La4Pd12Pt after structural relaxation at the PBE level of DFT.

## Properties
E_form (eV/atom): -0.774
V (Å³/cell): 329.0
Space group: Im-3m, No. 229

a = 7.532 Å, b = 7.532 Å, c = 7.532 Å
α = 109.47°, β = 109.47°, γ = 109.47°
Fractional positions:
La  0.000  0.000  0.500
La  0.000  0.500  0.000
La  0.500  0.000  0.000
La  0.500  0.500  0.500
Pd  0.000  0.302  0.302
Pd  0.000  0.698  0.698
Pd  0.250  0.500  0.750
Pd  0.250  0.750  0.500
Pd  0.302  0.000  0.302
Pd  0.302  0.302  0.000
Pd  0.500  0.250  0.750
Pd  0.500  0.750  0.250
Pd  0.698  0.000  0.698
Pd  0.698  0.698  0.000
Pd  0.750  0.250  0.500
Pd  0.750  0.500  0.250
Pt  0.000  0.000  0.000

Computed, not measured: La3Pd2Pt after structural relaxation at the PBE level of DFT.

## Properties
E_form (eV/atom): -0.873
V (Å³/cell): 297.3
Space group: Cmmm, No. 65

a = 8.269 Å, b = 8.269 Å, c = 7.342 Å
α = 90.00°, β = 90.00°, γ = 143.69°
Fractional positions:
La  0.000  0.000  0.248
La  0.000  0.000  0.752
La  0.331  0.669  0.256
La  0.331  0.669  0.744
La  0.669  0.331  0.256
La  0.669  0.331  0.744
Pd  0.170  0.830  0.000
Pd  0.500  0.500  0.000
Pd  0.500  0.500  0.500
Pd  0.830  0.170  0.000
Pt  0.156  0.844  0.500
Pt  0.844  0.156  0.500

Computed, not measured: LaPuPdPt after structural relaxation at the PBE level of DFT.

## Properties
E_form (eV/atom): -0.738
Energy above the most stable polymorph in this dataset (eV/f.u.): 0.26
V (Å³/cell): 372.0
Space group: F-43m, No. 216

a = 7.192 Å, b = 7.192 Å, c = 7.192 Å
α = 90.00°, β = 90.00°, γ = 90.00°
Fractional positions:
La  0.000  0.000  0.000
La  0.000  0.500  0.500
La  0.500  0.000  0.500
La  0.500  0.500  0.000
Pu  0.000  0.000  0.500
Pu  0.000  0.500  0.000
Pu  0.500  0.000  0.000
Pu  0.500  0.500  0.500
Pd  0.250  0.250  0.750
Pd  0.250  0.750  0.250
Pd  0.750  0.250  0.250
Pd  0.750  0.750  0.750
Pt  0.250  0.250  0.250
Pt  0.250  0.750  0.750
Pt  0.750  0.250  0.750
Pt  0.750  0.750  0.250

Computed, not measured: LaPuPdPt after structural relaxation at the PBE level of DFT.

## Properties
E_form (eV/atom): -0.803
Energy above the most stable polymorph in this dataset (eV/f.u.): 0.00
V (Å³/cell): 194.4
Space group: Amm2, No. 38

a = 4.372 Å, b = 3.971 Å, c = 11.197 Å
α = 90.00°, β = 90.00°, γ = 90.00°
Fractional positions:
La  0.000  0.000  0.000
La  0.000  0.500  0.500
Pu  0.500  0.000  0.274
Pu  0.500  0.500  0.774
Pd  0.500  0.000  0.554
Pd  0.500  0.500  0.054
Pt  0.000  0.000  0.732
Pt  0.000  0.500  0.232

Computed, not measured: La2PdPt5Rh2 after structural relaxation at the PBE level of DFT.

## Properties
E_form (eV/atom): -0.655
V (Å³/cell): 372.5
Space group: P4/mbm, No. 127

a = 9.477 Å, b = 9.477 Å, c = 4.147 Å
α = 90.00°, β = 90.00°, γ = 90.00°
Fractional positions:
La  0.176  0.324  0.000
La  0.324  0.824  0.000
La  0.676  0.176  0.000
La  0.824  0.676  0.000
Pd  0.000  0.000  0.000
Pd  0.500  0.500  0.000
Pt  0.000  0.500  0.500
Pt  0.058  0.799  0.500
Pt  0.201  0.058  0.500
Pt  0.299  0.558  0.500
Pt  0.442  0.299  0.500
Pt  0.500  0.000  0.500
Pt  0.558  0.701  0.500
Pt  0.701  0.442  0.500
Pt  0.799  0.942  0.500
Pt  0.942  0.201  0.500
Rh  0.126  0.626  0.000
Rh  0.374  0.126  0.000
Rh  0.626  0.874  0.000
Rh  0.874  0.374  0.000

Computed, not measured: LaPd2RuPt after structural relaxation at the PBE level of DFT.

## Properties
E_form (eV/atom): 0.795
V (Å³/cell): 128.6
Space group: P4/mmm, No. 123

a = 4.961 Å, b = 4.961 Å, c = 5.226 Å
α = 90.00°, β = 90.00°, γ = 90.00°
Fractional positions:
La  0.000  0.000  0.000
Pd  0.000  0.500  0.500
Pd  0.500  0.000  0.500
Ru  0.500  0.500  0.000
Pt  0.000  0.000  0.500

Computed, not measured: LaSbPdPt after structural relaxation at the PBE level of DFT.

## Properties
Formation energy from raw total energies (eV per atom): -0.785
V (Å³/cell): 348.6
Space group: F-43m, No. 216

a = 7.038 Å, b = 7.038 Å, c = 7.038 Å
α = 90.00°, β = 90.00°, γ = 90.00°
Fractional positions:
La  0.000  0.000  0.000
La  0.000  0.500  0.500
La  0.500  0.000  0.500
La  0.500  0.500  0.000
Sb  0.000  0.000  0.500
Sb  0.000  0.500  0.000
Sb  0.500  0.000  0.000
Sb  0.500  0.500  0.500
Pd  0.250  0.250  0.250
Pd  0.250  0.750  0.750
Pd  0.750  0.250  0.750
Pd  0.750  0.750  0.250
Pt  0.250  0.250  0.750
Pt  0.250  0.750  0.250
Pt  0.750  0.250  0.250
Pt  0.750  0.750  0.750